No. 1
## LiSc2Cd4 (PBE)

Data for an optimized crystal structure of LiSc2Cd4.

Lattice parameters (Å, degrees): 4.653 4.653 7.878 107.18 107.18 90.00
Element x y z (fractional)
Li 0.000 0.000 0.000
Cd 0.607 0.107 0.214
Cd 0.393 0.893 0.786
Cd 0.107 0.607 0.214
Cd 0.893 0.393 0.786
Sc 0.752 0.752 0.505
Sc 0.248 0.248 0.495

Summary:
**DOS at the Fermi energy**: 6.5 states/eV/cell
**DFT formation energy**: -0.14 eV/atom
**Space-group type**: No. 139
**Calculated total energy**: -19.23 eV/f.u.
**Total magnetization**: 0.07 μB/atom

No. 2
## Zr3W (PBE)

Data for an optimized crystal structure of Zr3W.

Lattice parameters (Å, degrees): 4.921 4.921 3.394 90.00 90.00 90.00
Element x y z (fractional)
Zr 0.500 0.500 0.000
Zr 0.000 0.500 0.500
Zr 0.500 0.000 0.500
W 0.000 0.000 0.000

Summary:
**DOS at the Fermi energy**: 6.1 states/eV/cell
**DFT formation energy**: 0.20 eV/atom
**Space-group type**: No. 123
**Calculated total energy**: -37.80 eV/f.u.
**Total magnetization**: 0.00 μB/atom

No. 3
## ZrIn3Br (PBE)

Data for an optimized crystal structure of ZrIn3Br.

Lattice parameters (Å, degrees): 5.787 5.787 5.787 90.00 90.00 90.00
Element x y z (fractional)
In 0.500 0.000 0.000
In 0.000 0.000 0.500
In 0.000 0.500 0.000
Br 0.500 0.500 0.500
Zr 0.000 0.000 0.000

Summary:
**DOS at the Fermi energy**: 4.3 states/eV/cell
**Space-group type**: No. 221
**Calculated total energy**: -16.28 eV/f.u.
**Total magnetization**: 0.75 μB/atom
**Formation energy from raw total energies**: 431 meV per atom

No. 4
## AcTbNd2Tl2 (PBE)

Data for an optimized crystal structure of AcTbNd2Tl2.

Lattice parameters (Å, degrees): 4.918 8.595 9.623 90.00 90.00 90.00
Element x y z (fractional)
Ac 0.000 0.982 0.416
Ac 0.000 0.482 0.584
Tb 0.500 0.148 0.688
Tb 0.500 0.648 0.312
Tl 0.500 0.272 0.375
Tl 0.000 0.241 0.872
Tl 0.000 0.741 0.128
Tl 0.500 0.772 0.625
Nd 0.000 0.867 0.825
Nd 0.500 0.034 0.079
Nd 0.000 0.367 0.175
Nd 0.500 0.534 0.921

Summary:
**DOS at the Fermi energy**: 10.5 states/eV/cell
**DFT formation energy**: -0.25 eV/atom
**Space-group type**: No. 26
**Calculated total energy**: -24.52 eV/f.u.
**Total magnetization**: 0.33 μB/atom

No. 5
## BaAl2Pt (PBE)

Data for an optimized crystal structure of BaAl2Pt.

Lattice parameters (Å, degrees): 6.429 6.429 3.191 76.79 76.79 124.13
Element x y z (fractional)
Al 0.500 0.500 0.000
Al 0.000 0.000 0.000
Ba 0.500 0.000 0.500
Pt 0.000 0.500 0.500

Summary:
**DOS at the Fermi energy**: 2.4 states/eV/cell
**DFT formation energy**: 0.15 eV/atom
**Space-group type**: No. 12
**Calculated total energy**: -14.86 eV/f.u.
**Total magnetization**: 0.00 μB/atom

No. 6
## ZnAgOs2 (PBE)

Data for an optimized crystal structure of ZnAgOs2.

Lattice parameters (Å, degrees): 5.322 5.322 5.322 148.91 127.93 61.90
Element x y z (fractional)
Os 0.754 0.254 0.500
Os 0.985 0.985 0.000
Ag 0.255 0.755 0.500
Zn 0.507 0.507 0.000

Summary:
**DOS at the Fermi energy**: 2.7 states/eV/cell
**DFT formation energy**: 0.58 eV/atom
**Space-group type**: No. 44
**Calculated total energy**: -24.25 eV/f.u.
**Total magnetization**: 0.00 μB/atom

No. 7
## Cs2TlInO4 (PBE)

Data for an optimized crystal structure of Cs2TlInO4.

Lattice parameters (Å, degrees): 6.094 7.455 10.945 83.47 73.83 65.88
Element x y z (fractional)
O 0.853 0.680 0.586
O 0.283 0.820 0.086
O 0.897 0.820 0.914
O 0.467 0.680 0.414
O 0.631 0.180 0.086
O 0.561 0.320 0.586
O 0.119 0.320 0.414
O 0.189 0.180 0.914
Cs 0.932 0.500 0.136
Cs 0.818 0.000 0.364
Cs 0.568 0.500 0.864
Cs 0.182 0.000 0.636
Tl 0.500 0.000 0.000
Tl 0.250 0.500 0.500
In 0.750 0.500 0.500
In 0.000 0.000 0.000

Summary:
**Space-group type**: No. 70
**Calculated total energy**: -35.43 eV/f.u.
**Total magnetization**: 0.00 μB/atom
**Formation energy from raw total energies**: -1098 meV per atom

No. 8
## CsAlAu3 (PBE)

Data for an optimized crystal structure of CsAlAu3.

Lattice parameters (Å, degrees): 7.402 8.634 9.326 108.22 90.00 90.00
Element x y z (fractional)
Au 0.549 0.106 0.639
Au 0.098 0.010 0.374
Au 0.425 0.647 0.076
Au 0.598 0.990 0.126
Au 0.925 0.353 0.424
Au 0.951 0.106 0.139
Au 0.575 0.353 0.924
Au 0.451 0.894 0.361
Au 0.049 0.894 0.861
Au 0.075 0.647 0.576
Au 0.902 0.990 0.626
Au 0.402 0.010 0.874
Cs 0.391 0.375 0.298
Cs 0.109 0.375 0.798
Cs 0.891 0.625 0.202
Cs 0.609 0.625 0.702
Al 0.751 0.084 0.401
Al 0.249 0.916 0.599
Al 0.251 0.916 0.099
Al 0.749 0.084 0.901

Summary:
**DOS at the Fermi energy**: 7.2 states/eV/cell
**DFT formation energy**: -0.31 eV/atom
**Space-group type**: No. 14
**Calculated total energy**: -15.96 eV/f.u.
**Total magnetization**: 0.00 μB/atom